Pu6Pa12Pb | PBE | relaxed

Unit cell a=8.267 b=8.267 c=8.267 alpha=106.76 beta=106.76 gamma=106.76
Element x y z (fractional)
Pu 0.272 0.272 0.720
Pu 0.272 0.720 0.272
Pu 0.280 0.728 0.728
Pu 0.720 0.272 0.272
Pu 0.728 0.280 0.728
Pu 0.728 0.728 0.280
Pa 0.119 0.500 0.881
Pa 0.119 0.881 0.500
Pa 0.169 0.421 0.421
Pa 0.421 0.169 0.421
Pa 0.421 0.421 0.169
Pa 0.500 0.119 0.881
Pa 0.500 0.881 0.119
Pa 0.579 0.579 0.831
Pa 0.579 0.831 0.579
Pa 0.831 0.579 0.579
Pa 0.881 0.119 0.500
Pa 0.881 0.500 0.119
Pb 0.000 0.000 0.000

Values from the calculation:
Volume (Å³ per cell): 474
Fermi-level density of states (states/eV/cell): 41.4
E_form (meV per atom): 312.3
Total magnetization (μB per formula unit): 29.1